a) 4
Lattice="-2.009 1.930 -0.905 -1.496 -1.785 4.258 3.526 4.822 2.456" Properties=species:S:1:pos:R:3 comment="BaAg2Os | Alexandria | PBEsol | relaxed" dos_at_fermi_per_ev_fu=2.949 m_tot_mub_per_fu=0.0 pbc="T T T"
Ba 0.793 3.437 0.827
Ag -0.026 4.899 5.768
Ag -1.569 1.427 1.787
Os 1.601 3.548 4.013



b) 4
Lattice="2.989 0.000 0.000 1.495 2.589 0.000 1.495 0.863 10.281" Properties=species:S:1:pos:R:3 comment="BaAg2Os | Alexandria | PBEsol | relaxed" dos_at_fermi_per_ev_fu=4.700 m_tot_mub_per_fu=0.0 pbc="T T T"
Ba 2.989 1.726 5.141
Os 0.000 0.000 0.000
Ag 1.495 0.863 2.183
Ag 4.484 2.589 8.098



Ranking the structures above by stability puts a) first and b) last.